Entry 1:
Compound: BaPrAuS3
Source: the Open Quantum Materials Database
Functional: PBE
Structure: relaxed

Cell: 8.1361 4.1825 9.8891 Å, 90.00 105.64 90.00°
Last column: nearest neighbours and their distance in Å.
Atoms (fractional coordinates):
1 S 0.5623 0.2500 0.8357  1 Au 2.54
2 Ba 0.7444 0.2500 0.2848  6 S 3.18-3.26, 1 Au 3.49
3 S 0.0599 0.2500 0.8583  3 Pr 2.85-2.91, 2 Ba 3.18
4 Au 0.6195 0.2500 0.5958  3 S 2.54-2.57
5 S 0.4377 0.7500 0.1643  1 Au 2.54
6 Pr 0.1930 0.2500 0.1564  6 S 2.85-2.91
7 Au 0.3805 0.7500 0.4042  3 S 2.54-2.57
8 S 0.7755 0.7500 0.5438  2 Au 2.57
9 Ba 0.2556 0.7500 0.7152  6 S 3.18-3.26, 1 Au 3.49
10 S 0.2245 0.2500 0.4562  2 Au 2.57
11 S 0.9401 0.7500 0.1417  3 Pr 2.85-2.91, 2 Ba 3.18
12 Pr 0.8070 0.7500 0.8436  6 S 2.85-2.91

Summary:
SG: P2_1/m
total energy: -5.26 eV per atom

Entry 2:
Compound: NdHo2Al3Si2Pd
Source: the Open Quantum Materials Database
Functional: PBE
Structure: relaxed

Cell: 4.2788 6.9434 6.9434 Å, 120.21 90.00 90.00°
Last column: nearest neighbours and their distance in Å.
Atoms (fractional coordinates):
1 Ho 0.0000 0.5845 0.0022  1 Pd 2.86, 4 Si 2.96-2.97
2 Al 0.5000 0.2374 0.9976  2 Si 2.64-2.74, 2 Pd 2.73, 2 Al 2.84-2.89
3 Ho 0.0000 0.0022 0.5845  1 Pd 2.86, 4 Si 2.96-2.97
4 Nd 0.0000 0.4188 0.4188  1 Pd 2.96, 4 Si 3.03, 6 Al 3.21-3.32
5 Al 0.5000 0.7640 0.7640  2 Pd 2.65, 2 Si 2.75, 2 Al 2.84
6 Pd 0.0000 0.9905 0.9905  6 Al 2.65-2.73, 2 Ho 2.86, 1 Nd 2.96
7 Si 0.5000 0.3310 0.6739  3 Al 2.64-2.75
8 Si 0.5000 0.6739 0.3310  3 Al 2.64-2.75
9 Al 0.5000 0.9976 0.2374  2 Si 2.64-2.74, 2 Pd 2.73, 2 Al 2.84-2.89

Summary:
SG: Amm2
total energy: -5.35 eV per atom

Entry 3:
Compound: SmBeIr
Source: the Open Quantum Materials Database
Functional: PBE
Structure: relaxed

Cell: 4.2908 4.2908 4.2908 Å, 60.00 60.00 60.00°
Last column: nearest neighbours and their distance in Å.
Atoms (fractional coordinates):
1 Sm 0.7500 0.7500 0.7500  4 Be 2.63
2 Be 0.0000 0.0000 0.0000  4 Ir 2.63, 4 Sm 2.63
3 Ir 0.2500 0.2500 0.2500  4 Be 2.63

Summary:
SG: F-43m
total energy: -5.91 eV per atom

Entry 4:
Compound: USiSn
Source: the Open Quantum Materials Database
Functional: PBE
Structure: relaxed

Cell: 4.6658 4.6658 4.6658 Å, 60.00 60.00 60.00°
Last column: nearest neighbours and their distance in Å.
Atoms (fractional coordinates):
1 Sn 0.2500 0.2500 0.2500  4 Si 2.86
2 U 0.7500 0.7500 0.7500  4 Si 2.86
3 Si 0.0000 0.0000 0.0000  4 Sn 2.86, 4 U 2.86

Summary:
SG: F-43m
total energy: -6.65 eV per atom

Entry 5:
Compound: AlCoAgIr
Source: the Open Quantum Materials Database
Functional: PBE
Structure: relaxed

Cell: 4.3233 4.3233 4.3233 Å, 60.00 60.00 60.00°
Last column: nearest neighbours and their distance in Å.
Atoms (fractional coordinates):
1 Al 0.0000 0.0000 0.0000  4 Co 2.65, 4 Ir 2.65
2 Ir 0.2500 0.2500 0.2500  4 Al 2.65, 4 Ag 2.65
3 Ag 0.5000 0.5000 0.5000  4 Co 2.65, 4 Ir 2.65
4 Co 0.7500 0.7500 0.7500  4 Al 2.65, 4 Ag 2.65

Summary:
SG: F-43m
total energy: -5.62 eV per atom

Entry 6:
Compound: AlRe2Tc
Source: the Open Quantum Materials Database
Functional: PBE
Structure: relaxed

Cell: 4.3490 4.3490 4.3490 Å, 60.00 60.00 60.00°
Last column: nearest neighbours and their distance in Å.
Atoms (fractional coordinates):
1 Re 0.0000 0.0000 0.0000  4 Re 2.66, 4 Tc 2.66
2 Al 0.5000 0.5000 0.5000  4 Tc 2.66, 4 Re 2.66
3 Tc 0.2500 0.2500 0.2500  4 Al 2.66, 4 Re 2.66
4 Re 0.7500 0.7500 0.7500  4 Re 2.66, 4 Al 2.66

Summary:
SG: F-43m
total energy: -9.84 eV per atom

Entry 7:
Compound: AcPaZn
Source: the Open Quantum Materials Database
Functional: PBE
Structure: relaxed

Cell: 5.0623 5.0623 5.0623 Å, 60.00 60.00 60.00°
Last column: nearest neighbours and their distance in Å.
Atoms (fractional coordinates):
1 Pa 0.7500 0.7500 0.7500  4 Zn 3.10
2 Zn 0.0000 0.0000 0.0000  4 Ac 3.10, 4 Pa 3.10
3 Ac 0.2500 0.2500 0.2500  4 Zn 3.10

Summary:
formation enthalpy at 0 K: 51.3 kJ/mol of atoms
SG: F-43m
total energy: -4.42 eV per atom

Entry 8:
Compound: BaLiErS3
Source: the Open Quantum Materials Database
Functional: PBE
Structure: relaxed

Cell: 10.2252 4.0747 13.5232 Å, 90.00 90.00 90.00°
Last column: nearest neighbours and their distance in Å.
Atoms (fractional coordinates):
1 S 0.0660 0.7500 0.8800  1 Li 2.38
2 Li 0.7441 0.2500 0.2216  4 S 2.37-2.40
3 Er 0.9942 0.7500 0.2479  6 S 2.71-2.76
4 Er 0.0058 0.2500 0.7521  6 S 2.71-2.76
5 Ba 0.7442 0.7500 0.9951  7 S 3.17-3.43
6 S 0.9340 0.2500 0.1200  1 Li 2.38
7 S 0.5660 0.7500 0.6200  1 Li 2.38
8 S 0.0531 0.2500 0.3779  1 Li 2.37
9 S 0.9469 0.7500 0.6221  1 Li 2.37
10 Er 0.4942 0.7500 0.2521  6 S 2.71-2.76
11 Er 0.5058 0.2500 0.7479  6 S 2.71-2.76
12 Ba 0.2558 0.2500 0.0049  7 S 3.17-3.43
13 S 0.4469 0.7500 0.8779  1 Li 2.37
14 S 0.7549 0.2500 0.8157  2 Li 2.40
15 Li 0.2441 0.2500 0.2784  4 S 2.37-2.40
16 Li 0.7559 0.7500 0.7216  4 S 2.37-2.40
17 S 0.7450 0.7500 0.3157  2 Li 2.40
18 S 0.5531 0.2500 0.1221  1 Li 2.37
19 Ba 0.2442 0.7500 0.5049  7 S 3.17-3.43
20 Li 0.2559 0.7500 0.7784  4 S 2.37-2.40
21 Ba 0.7558 0.2500 0.4951  7 S 3.17-3.43
22 S 0.2549 0.2500 0.6843  2 Li 2.40
23 S 0.4340 0.2500 0.3800  1 Li 2.38
24 S 0.2450 0.7500 0.1843  2 Li 2.40

Summary:
SG: Pnma
total energy: -5.42 eV per atom

Entry 9:
Compound: ErPSe3S
Source: the Open Quantum Materials Database
Functional: PBE
Structure: relaxed

Cell: 6.5872 6.7797 7.8905 Å, 88.43 86.97 83.70°
Last column: nearest neighbours and their distance in Å.
Atoms (fractional coordinates):
1 Se 0.5800 0.2460 0.6515  1 P 2.18
2 Se 0.1138 0.0092 0.7791  1 P 2.25
3 S 0.0937 0.5022 0.7744  1 P 2.08
4 Se 0.4200 0.7540 0.3485  1 P 2.18
5 P 0.3048 0.2573 0.8182  1 S 2.08, 3 Se 2.18-2.25
6 S 0.9063 0.4978 0.2256  1 P 2.08
7 Se 0.8862 0.9908 0.2209  1 P 2.25
8 Se 0.3813 0.2743 0.0909  1 P 2.24
9 Se 0.6187 0.7257 0.9091  1 P 2.24
10 Er 0.2017 0.7066 0.0548  2 S 2.80-2.81, 5 Se 2.83-3.05
11 Er 0.7983 0.2934 0.9452  2 S 2.80-2.81, 5 Se 2.83-3.05
12 P 0.6952 0.7427 0.1818  1 S 2.08, 3 Se 2.18-2.25

Summary:
SG: P-1
total energy: -4.97 eV per atom

Entry 10:
Compound: Ni8PdS8
Source: the Open Quantum Materials Database
Functional: PBE
Structure: relaxed

Cell: 7.1903 7.1903 7.1903 Å, 60.00 60.00 60.00°
Last column: nearest neighbours and their distance in Å.
Atoms (fractional coordinates):
1 Ni 0.6279 0.1163 0.6279  4 S 2.15-2.22
2 Ni 0.3721 0.8837 0.3721  4 S 2.15-2.22
3 S 0.2494 0.2494 0.7506  4 Ni 2.22
4 S 0.7506 0.2494 0.2494  4 Ni 2.22
5 S 0.2494 0.7506 0.7506  4 Ni 2.22
6 S 0.7506 0.2494 0.7506  4 Ni 2.22
7 S 0.2500 0.2500 0.2500  4 Ni 2.15
8 Ni 0.3721 0.3721 0.3721  4 S 2.15-2.22
9 Ni 0.3721 0.3721 0.8837  4 S 2.15-2.22
10 S 0.7506 0.7506 0.2494  4 Ni 2.22
11 Ni 0.6279 0.6279 0.1163  4 S 2.15-2.22
12 Ni 0.6279 0.6279 0.6279  4 S 2.15-2.22
13 S 0.7500 0.7500 0.7500  4 Ni 2.15
14 S 0.2494 0.7506 0.2494  4 Ni 2.22
15 Ni 0.8837 0.3721 0.3721  4 S 2.15-2.22
16 Pd 0.0000 0.0000 0.0000  6 S 2.54
17 Ni 0.1163 0.6279 0.6279  4 S 2.15-2.22

Summary:
SG: Fm-3m
total energy: -5.25 eV per atom

Entry 11:
Compound: Zr2CuC
Source: the Open Quantum Materials Database
Functional: PBE
Structure: relaxed

Cell: 3.3247 3.3247 13.5036 Å, 90.00 90.00 120.00°
Last column: nearest neighbours and their distance in Å.
Atoms (fractional coordinates):
1 Zr 0.3333 0.6667 0.4035  3 C 2.32
2 Zr 0.3333 0.6667 0.0965  3 C 2.32
3 Cu 0.3333 0.6667 0.7500  6 Zr 2.83
4 C 0.0000 0.0000 0.0000  6 Zr 2.32
5 Cu 0.6667 0.3333 0.2500  6 Zr 2.83
6 C 0.0000 0.0000 0.5000  6 Zr 2.32
7 Zr 0.6667 0.3333 0.9035  3 C 2.32
8 Zr 0.6667 0.3333 0.5965  3 C 2.32

Summary:
SG: P6_3/mmc
total energy: -7.89 eV per atom

Question: What is the total energy in the fifth record?
Answer: -5.62 eV per atom

Question: What is the formula in the first record?
Answer: BaPrAuS3